# 1
# CrSi2Cl PBE-GGA relaxed
data_CrSi2Cl
_chemical_formula_sum 'Cr1 Si2 Cl1'
_symmetry_space_group_name_H-M 'P 4/m m m'
_symmetry_Int_Tables_number 123
_symmetry_space_group_name_Hall '-P 4 2'
_cell_length_a 3.514
_cell_length_b 3.514
_cell_length_c 5.799
_cell_angle_alpha 90.00
_cell_angle_beta 90.00
_cell_angle_gamma 90.00
loop_
_atom_site_label
_atom_site_type_symbol
_atom_site_fract_x
_atom_site_fract_y
_atom_site_fract_z
_atom_site_occupancy
Cr1 Cr 0.000 0.000 0.000 1
Si1 Si 0.000 0.500 0.500 1
Cl1 Cl 0.500 0.500 0.000 1
# Density of states at the Fermi level ... 2.3 states/eV per cell
# Energy relative to the elements, uncorrected ... 0.366 eV/atom
# Relative energy among the computed polymorphs ... 1.47 eV per formula unit

***

# 2
# CrSiSnCl2 PBE-GGA relaxed
data_CrSiSnCl2
_chemical_formula_sum 'Cr1 Si1 Sn1 Cl2'
_symmetry_space_group_name_H-M 'P 4/m m m'
_symmetry_Int_Tables_number 123
_symmetry_space_group_name_Hall '-P 4 2'
_cell_length_a 4.380
_cell_length_b 4.380
_cell_length_c 5.828
_cell_angle_alpha 90.00
_cell_angle_beta 90.00
_cell_angle_gamma 90.00
loop_
_atom_site_label
_atom_site_type_symbol
_atom_site_fract_x
_atom_site_fract_y
_atom_site_fract_z
_atom_site_occupancy
Cr1 Cr 0.000 0.000 0.000 1
Si1 Si 0.500 0.500 0.500 1
Sn1 Sn 0.000 0.000 0.500 1
Cl1 Cl 0.000 0.500 0.000 1
# Density of states at the Fermi level ... 7.8 states/eV per cell
# Energy relative to the elements, uncorrected ... 0.313 eV/atom

***

# 3
# ZrCr2SiCl PBE-GGA relaxed
data_ZrCr2SiCl
_chemical_formula_sum 'Zr1 Cr2 Si1 Cl1'
_symmetry_space_group_name_H-M 'P 4/m m m'
_symmetry_Int_Tables_number 123
_symmetry_space_group_name_Hall '-P 4 2'
_cell_length_a 4.326
_cell_length_b 4.326
_cell_length_c 5.161
_cell_angle_alpha 90.00
_cell_angle_beta 90.00
_cell_angle_gamma 90.00
loop_
_atom_site_label
_atom_site_type_symbol
_atom_site_fract_x
_atom_site_fract_y
_atom_site_fract_z
_atom_site_occupancy
Zr1 Zr 0.000 0.000 0.000 1
Cr1 Cr 0.000 0.500 0.500 1
Si1 Si 0.000 0.000 0.500 1
Cl1 Cl 0.500 0.500 0.000 1
# Density of states at the Fermi level ... 7.5 states/eV per cell
# Energy relative to the elements, uncorrected ... 0.936 eV/atom

***

# 4
# CrSn2Cl PBE-GGA relaxed
data_CrSn2Cl
_chemical_formula_sum 'Cr4 Sn8 Cl4'
_symmetry_space_group_name_H-M 'I -4 2 d'
_symmetry_Int_Tables_number 122
_symmetry_space_group_name_Hall 'I -4 2bw'
_cell_length_a 4.161
_cell_length_b 4.161
_cell_length_c 23.113
_cell_angle_alpha 90.00
_cell_angle_beta 90.00
_cell_angle_gamma 90.00
loop_
_atom_site_label
_atom_site_type_symbol
_atom_site_fract_x
_atom_site_fract_y
_atom_site_fract_z
_atom_site_occupancy
Cr1 Cr 0.000 0.000 0.000 1
Sn1 Sn 0.242 0.250 0.125 1
Cl1 Cl 0.000 0.000 0.500 1
# Density of states at the Fermi level ... 7.7 states/eV per cell
# Energy relative to the elements, uncorrected ... 0.248 eV/atom
# Relative energy among the computed polymorphs ... 0.00 eV per formula unit

***

# 5
# CrSn2Cl PBE-GGA relaxed
data_CrSn2Cl
_chemical_formula_sum 'Cr4 Sn8 Cl4'
_symmetry_space_group_name_H-M 'F m -3 m'
_symmetry_Int_Tables_number 225
_symmetry_space_group_name_Hall '-F 4 2 3'
_cell_length_a 7.015
_cell_length_b 7.015
_cell_length_c 7.015
_cell_angle_alpha 90.00
_cell_angle_beta 90.00
_cell_angle_gamma 90.00
loop_
_atom_site_label
_atom_site_type_symbol
_atom_site_fract_x
_atom_site_fract_y
_atom_site_fract_z
_atom_site_occupancy
Cr1 Cr 0.000 0.000 0.000 1
Sn1 Sn 0.250 0.250 0.250 1
Cl1 Cl 0.000 0.000 0.500 1
# Density of states at the Fermi level ... 32.7 states/eV per cell
# Energy relative to the elements, uncorrected ... 0.763 eV/atom
# Relative energy among the computed polymorphs ... 2.06 eV per formula unit

***

# 6
# Cr2SnCl PBE-GGA relaxed
data_Cr2SnCl
_chemical_formula_sum 'Cr8 Sn4 Cl4'
_symmetry_space_group_name_H-M 'F m -3 m'
_symmetry_Int_Tables_number 225
_symmetry_space_group_name_Hall '-F 4 2 3'
_cell_length_a 6.728
_cell_length_b 6.728
_cell_length_c 6.728
_cell_angle_alpha 90.00
_cell_angle_beta 90.00
_cell_angle_gamma 90.00
loop_
_atom_site_label
_atom_site_type_symbol
_atom_site_fract_x
_atom_site_fract_y
_atom_site_fract_z
_atom_site_occupancy
Cr1 Cr 0.250 0.250 0.250 1
Sn1 Sn 0.000 0.000 0.000 1
Cl1 Cl 0.000 0.000 0.500 1
# Density of states at the Fermi level ... 1.9 states/eV per cell
# Energy relative to the elements, uncorrected ... 0.446 eV/atom
# Relative energy among the computed polymorphs ... 0.15 eV per formula unit

***

# 7
# Cr2SnCl PBE-GGA relaxed
data_Cr2SnCl
_chemical_formula_sum 'Cr8 Sn4 Cl4'
_symmetry_space_group_name_H-M 'I -4 2 d'
_symmetry_Int_Tables_number 122
_symmetry_space_group_name_Hall 'I -4 2bw'
_cell_length_a 7.100
_cell_length_b 7.100
_cell_length_c 6.587
_cell_angle_alpha 90.00
_cell_angle_beta 90.00
_cell_angle_gamma 90.00
loop_
_atom_site_label
_atom_site_type_symbol
_atom_site_fract_x
_atom_site_fract_y
_atom_site_fract_z
_atom_site_occupancy
Cr1 Cr 0.221 0.250 0.125 1
Sn1 Sn 0.000 0.000 0.500 1
Cl1 Cl 0.000 0.000 0.000 1
# Density of states at the Fermi level ... 13.6 states/eV per cell
# Energy relative to the elements, uncorrected ... 0.408 eV/atom
# Relative energy among the computed polymorphs ... 0.00 eV per formula unit

***

# 8
# TiCr2SnCl PBE-GGA relaxed
data_TiCr2SnCl
_chemical_formula_sum 'Ti1 Cr2 Sn1 Cl1'
_symmetry_space_group_name_H-M 'P 4/m m m'
_symmetry_Int_Tables_number 123
_symmetry_space_group_name_Hall '-P 4 2'
_cell_length_a 5.191
_cell_length_b 5.191
_cell_length_c 5.389
_cell_angle_alpha 90.00
_cell_angle_beta 90.00
_cell_angle_gamma 90.00
loop_
_atom_site_label
_atom_site_type_symbol
_atom_site_fract_x
_atom_site_fract_y
_atom_site_fract_z
_atom_site_occupancy
Ti1 Ti 0.000 0.000 0.000 1
Cr1 Cr 0.000 0.500 0.500 1
Sn1 Sn 0.000 0.000 0.500 1
Cl1 Cl 0.500 0.500 0.000 1
# Density of states at the Fermi level ... 2.6 states/eV per cell
# Energy relative to the elements, uncorrected ... 0.963 eV/atom